Compound: PtSF2
Source: Alexandria via LeMat-Bulk
Functional: PBE
Structure: optimized geometry

Summary:
As for the space-group type: R-3m (166). As for the offset from the most stable computed form: 0.0 meV per atom. As for the total energy: -3.93 eV per atom.

Structure (extended XYZ):
```
4
Lattice="1.3413 0.7744 10.1184 -1.3413 0.7744 10.1184 0.0000 -1.5488 10.1184" Properties=species:S:1:pos:R:3 pbc="T T T"
Pt 0.0000 0.0000 0.0000
S 0.0000 0.0000 15.1776
F 0.0000 0.0000 13.4833
F 0.0000 0.0000 16.8718
```



Compound: PtS2F
Source: Alexandria via LeMat-Bulk
Functional: PBE
Structure: optimized geometry

Summary:
As for the space-group type: Fm-3m (225). As for the offset from the most stable computed form: 364.7 meV per atom. As for the total energy: -4.11 eV per atom.

Structure (extended XYZ):
```
4
Lattice="0.0000 2.9892 2.9892 2.9892 0.0000 2.9892 2.9892 2.9892 0.0000" Properties=species:S:1:pos:R:3 pbc="T T T"
Pt 0.0000 0.0000 0.0000
S 1.4946 1.4946 1.4946
S 4.4838 4.4838 4.4838
F 2.9892 2.9892 2.9892
```



Compound: PtS2F
Source: Alexandria via LeMat-Bulk
Functional: PBE
Structure: optimized geometry

Summary:
As for the space-group type: R-3m (166). As for the offset from the most stable computed form: 0.0 meV per atom. As for the total energy: -4.48 eV per atom.

Structure (extended XYZ):
```
4
Lattice="1.8080 1.0439 6.6414 -1.8080 1.0439 6.6414 0.0000 -2.0877 6.6414" Properties=species:S:1:pos:R:3 pbc="T T T"
Pt 0.0000 0.0000 0.0000
S 0.0000 0.0000 7.8378
S 0.0000 0.0000 12.0864
F 0.0000 0.0000 9.9621
```



Compound: SnPt2SF
Source: Alexandria via LeMat-Bulk
Functional: PBE
Structure: optimized geometry

Summary:
As for the space-group type: P4/mmm (123). As for the total energy: -3.55 eV per atom.

Structure (extended XYZ):
```
5
Lattice="5.0776 0.0000 0.0000 0.0000 5.0776 0.0000 0.0000 0.0000 4.9180" Properties=species:S:1:pos:R:3 pbc="T T T"
Sn 0.0000 0.0000 0.0000
Pt 0.0000 2.5388 0.0000
Pt 2.5388 0.0000 0.0000
S 0.0000 0.0000 2.4590
F 2.5388 2.5388 2.4590
```



Compound: TlPtSF2
Source: Alexandria via LeMat-Bulk
Functional: PBE
Structure: optimized geometry

Summary:
As for the space-group type: P4/mmm (123). As for the total energy: -4.02 eV per atom.

Structure (extended XYZ):
```
5
Lattice="4.4617 0.0000 0.0000 0.0000 4.4617 0.0000 0.0000 0.0000 4.6350" Properties=species:S:1:pos:R:3 pbc="T T T"
Tl 0.0000 0.0000 0.0000
Pt 2.2309 2.2309 2.3175
S 2.2309 2.2309 0.0000
F 0.0000 2.2309 2.3175
F 2.2309 0.0000 2.3175
```



Compound: Sb2PtF
Source: Alexandria via LeMat-Bulk
Functional: PBE
Structure: optimized geometry

Summary:
As for the space-group type: I-42d (122). As for the offset from the most stable computed form: 247.7 meV per atom. As for the total energy: -4.61 eV per atom.

Structure (extended XYZ):
```
8
Lattice="-2.4703 2.4703 7.4763 2.4703 -2.4703 7.4763 2.4703 2.4703 -7.4763" Properties=species:S:1:pos:R:3 pbc="T T T"
Sb 3.7055 1.0863 -1.8691
Sb 1.0863 1.2352 1.8691
Sb -1.2352 1.3841 5.6072
Sb 1.3841 1.2352 9.3453
Pt 2.4703 0.0000 3.7381
Pt 0.0000 0.0000 7.4763
F 0.0000 0.0000 0.0000
F 0.0000 2.4703 3.7381
```



Compound: Sb3PtF
Source: Alexandria via LeMat-Bulk
Functional: PBE
Structure: optimized geometry

Summary:
As for the space-group type: Pm-3m (221). As for the offset from the most stable computed form: 0.0 meV per atom. As for the total energy: -3.92 eV per atom.

Structure (extended XYZ):
```
5
Lattice="4.8143 0.0000 0.0000 0.0000 4.8143 0.0000 0.0000 0.0000 4.8143" Properties=species:S:1:pos:R:3 pbc="T T T"
Sb 0.0000 0.0000 2.4071
Sb 0.0000 2.4071 0.0000
Sb 2.4071 0.0000 0.0000
Pt 2.4071 2.4071 2.4071
F 0.0000 0.0000 0.0000
```



Compound: Sb3PtF
Source: Alexandria via LeMat-Bulk
Functional: PBE
Structure: optimized geometry

Summary:
As for the space-group type: Pm-3m (221). As for the offset from the most stable computed form: 65.4 meV per atom. As for the total energy: -3.86 eV per atom.

Structure (extended XYZ):
```
5
Lattice="5.2789 0.0000 0.0000 0.0000 5.2789 0.0000 0.0000 0.0000 5.2789" Properties=species:S:1:pos:R:3 pbc="T T T"
Sb 0.0000 0.0000 2.6394
Sb 0.0000 2.6394 0.0000
Sb 2.6394 0.0000 0.0000
Pt 0.0000 0.0000 0.0000
F 2.6394 2.6394 2.6394
```



Compound: SbPtF2
Source: Alexandria via LeMat-Bulk
Functional: PBE
Structure: optimized geometry

Summary:
As for the space-group type: R-3m (166). As for the offset from the most stable computed form: 309.8 meV per atom. As for the total energy: -4.08 eV per atom.

Structure (extended XYZ):
```
4
Lattice="1.4989 0.8654 8.8864 -1.4989 0.8654 8.8864 0.0000 -1.7307 8.8864" Properties=species:S:1:pos:R:3 pbc="T T T"
Sb 0.0000 0.0000 0.0000
Pt 0.0000 0.0000 13.3296
F 0.0000 0.0000 2.0473
F 0.0000 0.0000 24.6119
```



Compound: SbPtF2
Source: Alexandria via LeMat-Bulk
Functional: PBE
Structure: optimized geometry

Summary:
As for the space-group type: I-42d (122). As for the offset from the most stable computed form: 0.0 meV per atom. As for the total energy: -4.39 eV per atom.

Structure (extended XYZ):
```
8
Lattice="-1.9331 1.9331 8.2241 1.9331 -1.9331 8.2241 1.9331 1.9331 -8.2241" Properties=species:S:1:pos:R:3 pbc="T T T"
Sb 0.0000 0.0000 0.0000
Sb 0.0000 1.9331 4.1120
Pt 1.9331 0.0000 4.1120
Pt 0.0000 0.0000 8.2241
F 2.8996 0.8884 -2.0560
F 0.8884 0.9665 2.0560
F -0.9665 1.0447 6.1680
F 1.0447 0.9665 10.2801
```



Compound: Sb2PtF
Source: Alexandria via LeMat-Bulk
Functional: PBE
Structure: optimized geometry

Summary:
As for the space-group type: Fm-3m (225). As for the offset from the most stable computed form: 0.0 meV per atom. As for the total energy: -4.85 eV per atom.

Structure (extended XYZ):
```
4
Lattice="0.0000 3.2908 3.2908 3.2908 0.0000 3.2908 3.2908 3.2908 0.0000" Properties=species:S:1:pos:R:3 pbc="T T T"
Sb 1.6454 1.6454 1.6454
Sb 4.9362 4.9362 4.9362
Pt 0.0000 0.0000 0.0000
F 3.2908 3.2908 3.2908
```



Compound: SbPtF2
Source: Alexandria via LeMat-Bulk
Functional: PBE
Structure: optimized geometry

Summary:
As for the space-group type: Fm-3m (225). As for the offset from the most stable computed form: 422.1 meV per atom. As for the total energy: -3.97 eV per atom.

Structure (extended XYZ):
```
4
Lattice="0.0000 3.0947 3.0947 3.0947 0.0000 3.0947 3.0947 3.0947 0.0000" Properties=species:S:1:pos:R:3 pbc="T T T"
Sb 0.0000 0.0000 0.0000
Pt 3.0947 3.0947 3.0947
F 1.5474 1.5474 1.5474
F 4.6421 4.6421 4.6421
```



Compound: SbPtF2
Source: Alexandria via LeMat-Bulk
Functional: PBE
Structure: optimized geometry

Summary:
As for the space-group type: R-3m (166). As for the offset from the most stable computed form: 132.3 meV per atom. As for the total energy: -4.26 eV per atom.

Structure (extended XYZ):
```
4
Lattice="1.5128 0.8734 8.1559 -1.5128 0.8734 8.1559 0.0000 -1.7468 8.1559" Properties=species:S:1:pos:R:3 pbc="T T T"
Sb 0.0000 0.0000 0.0000
Pt 0.0000 0.0000 12.2338
F 0.0000 0.0000 10.2075
F 0.0000 0.0000 14.2602
```



Compound: TaSbPtF2
Source: Alexandria via LeMat-Bulk
Functional: PBE
Structure: optimized geometry

Summary:
As for the space-group type: P4/mmm (123). As for the total energy: -6.31 eV per atom.

Structure (extended XYZ):
```
5
Lattice="3.9882 0.0000 0.0000 0.0000 3.9882 0.0000 0.0000 0.0000 5.7405" Properties=species:S:1:pos:R:3 pbc="T T T"
Ta 0.0000 0.0000 0.0000
Sb 0.0000 0.0000 2.8702
Pt 1.9941 1.9941 2.8702
F 0.0000 1.9941 0.0000
F 1.9941 0.0000 0.0000
```



Compound: ScPtF
Source: Alexandria via LeMat-Bulk
Functional: PBE
Structure: optimized geometry

Summary:
As for the space-group type: P4/nmm (129). As for the total energy: -6.97 eV per atom.

Structure (extended XYZ):
```
6
Lattice="3.4167 0.0000 0.0000 0.0000 3.4167 0.0000 0.0000 0.0000 7.4468" Properties=species:S:1:pos:R:3 pbc="T T T"
Sc 0.8542 0.8542 1.4748
Sc 2.5625 2.5625 5.9720
Pt 0.8542 0.8542 4.5280
Pt 2.5625 2.5625 2.9188
F 0.8542 2.5625 0.0000
F 2.5625 0.8542 0.0000
```



Compound: Sc2PtF
Source: Alexandria via LeMat-Bulk
Functional: PBE
Structure: optimized geometry

Summary:
As for the space-group type: R-3m (166). As for the offset from the most stable computed form: 0.0 meV per atom. As for the total energy: -6.99 eV per atom.

Structure (extended XYZ):
```
4
Lattice="2.0116 1.1614 6.6768 -2.0116 1.1614 6.6768 0.0000 -2.3228 6.6768" Properties=species:S:1:pos:R:3 pbc="T T T"
Sc 0.0000 0.0000 2.0387
Sc 0.0000 0.0000 17.9918
Pt 0.0000 0.0000 10.0153
F 0.0000 0.0000 0.0000
```



Compound: Sc2PtF
Source: Alexandria via LeMat-Bulk
Functional: PBE
Structure: optimized geometry

Summary:
As for the space-group type: I-42d (122). As for the offset from the most stable computed form: 191.3 meV per atom. As for the total energy: -6.79 eV per atom.

Structure (extended XYZ):
```
8
Lattice="-3.1718 3.1718 3.5263 3.1718 -3.1718 3.5263 3.1718 3.1718 -3.5263" Properties=species:S:1:pos:R:3 pbc="T T T"
Sc 1.5859 1.2366 -0.8816
Sc 1.9352 -1.5859 4.4078
Sc 1.5859 1.9352 2.6447
Sc 1.2366 4.7577 0.8816
Pt 3.1718 0.0000 1.7631
Pt 0.0000 0.0000 3.5263
F 0.0000 0.0000 0.0000
F 0.0000 3.1718 1.7631
```



Compound: Sc2PtF
Source: Alexandria via LeMat-Bulk
Functional: PBE
Structure: optimized geometry

Summary:
As for the space-group type: Fm-3m (225). As for the offset from the most stable computed form: 456.9 meV per atom. As for the total energy: -6.53 eV per atom.

Structure (extended XYZ):
```
4
Lattice="0.0000 3.2553 3.2553 3.2553 0.0000 3.2553 3.2553 3.2553 0.0000" Properties=species:S:1:pos:R:3 pbc="T T T"
Sc 1.6277 1.6277 1.6277
Sc 4.8830 4.8830 4.8830
Pt 0.0000 0.0000 0.0000
F 3.2553 3.2553 3.2553
```



Compound: Sc3PtF
Source: Alexandria via LeMat-Bulk
Functional: PBE
Structure: optimized geometry

Summary:
As for the space-group type: Pm-3m (221). As for the offset from the most stable computed form: 0.0 meV per atom. As for the total energy: -6.67 eV per atom.

Structure (extended XYZ):
```
5
Lattice="4.3906 0.0000 0.0000 0.0000 4.3906 0.0000 0.0000 0.0000 4.3906" Properties=species:S:1:pos:R:3 pbc="T T T"
Sc 0.0000 0.0000 2.1953
Sc 0.0000 2.1953 0.0000
Sc 2.1953 0.0000 0.0000
Pt 2.1953 2.1953 2.1953
F 0.0000 0.0000 0.0000
```



Compound: ScTc2PtF
Source: Alexandria via LeMat-Bulk
Functional: PBE
Structure: optimized geometry

Summary:
As for the space-group type: P4/mmm (123). As for the total energy: -6.12 eV per atom.

Structure (extended XYZ):
```
5
Lattice="4.7965 0.0000 0.0000 0.0000 4.7965 0.0000 0.0000 0.0000 5.1678" Properties=species:S:1:pos:R:3 pbc="T T T"
Sc 0.0000 0.0000 0.0000
Tc 0.0000 2.3983 2.5839
Tc 2.3983 0.0000 2.5839
Pt 0.0000 0.0000 2.5839
F 2.3983 2.3983 0.0000
```



Compound: PtSeF3
Source: Alexandria via LeMat-Bulk
Functional: PBE
Structure: optimized geometry

Summary:
As for the space-group type: Pm-3m (221). As for the offset from the most stable computed form: 410.8 meV per atom. As for the total energy: -3.00 eV per atom.

Structure (extended XYZ):
```
5
Lattice="4.1760 0.0000 0.0000 0.0000 4.1760 0.0000 0.0000 0.0000 4.1760" Properties=species:S:1:pos:R:3 pbc="T T T"
Pt 0.0000 0.0000 0.0000
Se 2.0880 2.0880 2.0880
F 0.0000 2.0880 2.0880
F 2.0880 0.0000 2.0880
F 2.0880 2.0880 0.0000
```



Compound: Pt2Se3F
Source: Alexandria via LeMat-Bulk
Functional: PBE
Structure: optimized geometry

Summary:
As for the space-group type: C2/m (12). As for the total energy: -4.60 eV per atom.

Structure (extended XYZ):
```
12
Lattice="5.0779 -3.8162 0.0000 5.0779 3.8162 0.0000 -4.5105 0.0000 6.5841" Properties=species:S:1:pos:R:3 pbc="T T T"
Pt 0.0000 0.0000 0.0000
Pt 0.2837 1.9081 3.2921
Pt 0.2837 -1.9081 3.2921
Pt 5.0779 0.0000 0.0000
Se -0.6904 1.9079 5.5209
Se -0.9892 0.0000 2.4071
Se 6.3357 1.9079 1.0632
Se -0.6904 -1.9079 5.5209
Se 6.6345 0.0000 4.1770
Se 6.3357 -1.9079 1.0632
F 3.6400 0.0000 1.3912
F 2.0053 0.0000 5.1929
```



Compound: PtSeF2
Source: Alexandria via LeMat-Bulk
Functional: PBE
Structure: optimized geometry

Summary:
As for the space-group type: Fm-3m (225). As for the offset from the most stable computed form: 621.7 meV per atom. As for the total energy: -3.23 eV per atom.

Structure (extended XYZ):
```
4
Lattice="0.0000 3.0011 3.0011 3.0011 0.0000 3.0011 3.0011 3.0011 0.0000" Properties=species:S:1:pos:R:3 pbc="T T T"
Pt 0.0000 0.0000 0.0000
Se 3.0011 3.0011 3.0011
F 1.5005 1.5005 1.5005
F 4.5016 4.5016 4.5016
```



Compound: PtSeF3
Source: Alexandria via LeMat-Bulk
Functional: PBE
Structure: optimized geometry

Summary:
As for the space-group type: Pm-3m (221). As for the offset from the most stable computed form: 0.0 meV per atom. As for the total energy: -3.41 eV per atom.

Structure (extended XYZ):
```
5
Lattice="4.3152 0.0000 0.0000 0.0000 4.3152 0.0000 0.0000 0.0000 4.3152" Properties=species:S:1:pos:R:3 pbc="T T T"
Pt 0.0000 0.0000 0.0000
Se 2.1576 2.1576 2.1576
F 0.0000 0.0000 2.1576
F 0.0000 2.1576 0.0000
F 2.1576 0.0000 0.0000
```



Compound: PtSeF2
Source: Alexandria via LeMat-Bulk
Functional: PBE
Structure: optimized geometry

Summary:
As for the space-group type: I-42d (122). As for the offset from the most stable computed form: 214.5 meV per atom. As for the total energy: -3.64 eV per atom.

Structure (extended XYZ):
```
8
Lattice="-4.2845 4.2845 2.3673 4.2845 -4.2845 2.3673 4.2845 4.2845 -2.3673" Properties=species:S:1:pos:R:3 pbc="T T T"
Pt 0.0000 0.0000 0.0000
Pt 0.0000 4.2845 1.1836
Se 4.2845 0.0000 1.1836
Se 0.0000 0.0000 2.3673
F 0.0278 2.1422 0.5918
F -2.1422 4.2567 1.7755
F -0.0278 6.4267 0.5918
F 2.1422 4.3122 1.7755
```



Compound: PtSeF2
Source: Alexandria via LeMat-Bulk
Functional: PBE
Structure: optimized geometry

Summary:
As for the space-group type: R-3m (166). As for the offset from the most stable computed form: 0.0 meV per atom. As for the total energy: -3.86 eV per atom.

Structure (extended XYZ):
```
4
Lattice="1.3960 0.8060 8.8242 -1.3960 0.8060 8.8242 0.0000 -1.6120 8.8242" Properties=species:S:1:pos:R:3 pbc="T T T"
Pt 0.0000 0.0000 0.0000
Se 0.0000 0.0000 13.2364
F 0.0000 0.0000 1.9513
F 0.0000 0.0000 24.5214
```



Compound: PtSeF2
Source: Alexandria via LeMat-Bulk
Functional: PBE
Structure: optimized geometry

Summary:
As for the space-group type: R-3m (166). As for the offset from the most stable computed form: 61.2 meV per atom. As for the total energy: -3.79 eV per atom.

Structure (extended XYZ):
```
4
Lattice="1.3909 0.8030 9.6657 -1.3909 0.8030 9.6657 0.0000 -1.6060 9.6657" Properties=species:S:1:pos:R:3 pbc="T T T"
Pt 0.0000 0.0000 0.0000
Se 0.0000 0.0000 14.4986
F 0.0000 0.0000 12.6456
F 0.0000 0.0000 16.3516
```



Compound: TaPt2SeF
Source: Alexandria via LeMat-Bulk
Functional: PBE
Structure: optimized geometry

Summary:
As for the space-group type: P4/mmm (123). As for the total energy: -5.51 eV per atom.

Structure (extended XYZ):
```
5
Lattice="4.8554 0.0000 0.0000 0.0000 4.8554 0.0000 0.0000 0.0000 3.7945" Properties=species:S:1:pos:R:3 pbc="T T T"
Ta 0.0000 0.0000 0.0000
Pt 0.0000 2.4277 1.8973
Pt 2.4277 0.0000 1.8973
Se 2.4277 2.4277 1.8973
F 2.4277 2.4277 0.0000
```